The following is a PBE-GGA calculation of an optimized crystal structure of MnAl2Tl, from the Alexandria database.

Geometry as POSCAR:
```
MnAl2Tl
1.0
4.4875 -1.5137 0.0000
4.4875 1.5137 0.0000
-1.1779 0.0000 5.4014
Mn Al Tl
1 2 1
Cartesian
0.0000 0.0000 0.0000
1.4333 0.0000 4.3613
6.3638 0.0000 1.0401
3.8986 0.0000 2.7007
```

* SG: C2/m
* mass density: 7089 kg/m3
* E_tot: -4.508 eV per atom
* energy relative to the elements: 248 meV per atom

***

The following is a PBE-GGA calculation of an optimized crystal structure of YMn2AlTl, from the Alexandria database.

Geometry as POSCAR:
```
YMn2AlTl
1.0
5.0946 0.0000 0.0000
0.0000 5.0946 0.0000
0.0000 0.0000 5.8166
Y Mn Al Tl
1 2 1 1
Cartesian
0.0000 0.0000 0.0000
0.0000 2.5473 0.0000
2.5473 0.0000 0.0000
2.5473 2.5473 2.9083
0.0000 0.0000 2.9083
```

* SG: P4/mmm
* mass density: 4731 kg/m3
* E_tot: -4.776 eV per atom
* energy relative to the elements: 1406 meV per atom